Entry from the Alexandria database: an optimized crystal structure of Ta2CrS5 (PBE-GGA).

a = 4.8716 Å, b = 11.3958 Å, c = 10.8300 Å
α = 90.00°, β = 90.00°, γ = 90.00°
Space group Cmcm (No. 63)
Asymmetric unit:
Ta 0.0000 0.1466 0.1017 (multiplicity 8)
Cr 0.0000 0.2189 0.7500 (multiplicity 4)
S 0.0000 0.0600 0.6149 (multiplicity 8)
S 0.0000 0.3087 0.2500 (multiplicity 4)
S 0.0000 0.3306 0.5615 (multiplicity 8)

calculated volume: 601 Å³ per cell
ΔE to the lowest computed polymorph: 0 meV per atom
raw formation energy: -0.66 eV per atom